Compound: CeSmGdY
Source: Alexandria
Functional: PBE-GGA
Structure: relaxed

a b c (Å): 8.0672 8.0672 8.0672
angles (deg): 90.00 90.00 90.00
Last column: nearest neighbours and their distance in Å.
Space group F-43m (No. 216)
One atom of each set of equivalent atoms:
Ce: 0.0000 0.0000 0.0000 (multiplicity 4)  4 Sm 3.49, 4 Gd 3.49
Sm: 0.2500 0.2500 0.2500 (multiplicity 4)  4 Ce 3.49, 4 Y 3.49
Gd: 0.2500 0.2500 0.7500 (multiplicity 4)  4 Ce 3.49, 4 Y 3.49
Y: 0.0000 0.0000 0.5000 (multiplicity 4)  4 Gd 3.49, 4 Sm 3.49

crystal system	cubic
DFT formation energy	198	meV per atom

=====

Compound: CaTbO4
Source: Alexandria
Functional: PBE-GGA
Structure: relaxed

a b c (Å): 6.7987 3.7878 6.6412
angles (deg): 90.00 95.60 90.00
Last column: nearest neighbours and their distance in Å.
Space group Cm (No. 8)
One atom of each set of equivalent atoms:
Ca: 0.0000 0.0000 0.0000 (multiplicity 2)  4 O 2.29-2.47
Tb: 0.3671 0.0000 0.4140 (multiplicity 2)  4 O 2.19-2.25
O: 0.0366 0.0000 0.3742 (multiplicity 2)  3 Tb 2.24-2.25, 1 Ca 2.47
O: 0.0957 0.5000 0.7471 (multiplicity 2)  1 O 1.36
O: 0.2702 0.5000 0.6615 (multiplicity 2)  1 O 1.36
O: 0.3354 0.0000 0.0833 (multiplicity 2)  1 Tb 2.19, 3 Ca 2.29

E_form (uncorrected)	-2400.0	meV per atom
crystal system	monoclinic

=====

Compound: LaTl
Source: Alexandria
Functional: PBE-GGA
Structure: relaxed

a b c (Å): 3.7002 3.7002 11.0892
angles (deg): 90.00 90.00 120.00
Last column: nearest neighbours and their distance in Å.
Space group P-3m1 (No. 164)
One atom of each set of equivalent atoms:
La: 0.3333 0.6667 0.1364 (multiplicity 2)  3 Tl 3.50, 9 La 3.70
Tl: 0.3333 0.6667 0.6135 (multiplicity 2)  3 Tl 3.30, 3 La 3.50

crystal system	trigonal
DFT formation energy	-99	meV per atom

=====

Compound: CeMgAg2
Source: Alexandria
Functional: PBE-GGA
Structure: relaxed

a b c (Å): 3.3369 3.3369 7.7301
angles (deg): 90.00 90.00 90.00
Last column: nearest neighbours and their distance in Å.
Space group P4/mmm (No. 123)
One atom of each set of equivalent atoms:
Ce: 0.0000 0.0000 0.0000 (multiplicity 1)  8 Ag 3.25, 4 Ce 3.34
Mg: 0.0000 0.0000 0.5000 (multiplicity 1)  8 Ag 2.87
Ag: 0.5000 0.5000 0.2883 (multiplicity 2)  4 Mg 2.87

crystal system	tetragonal
DFT formation energy	-153	meV per atom

=====

Compound: Ce2ScMn
Source: Alexandria
Functional: PBE-GGA
Structure: relaxed

a b c (Å): 3.2763 3.2763 8.4937
angles (deg): 90.00 90.00 90.00
Last column: nearest neighbours and their distance in Å.
Space group P4/mmm (No. 123)
One atom of each set of equivalent atoms:
Ce: 0.0000 0.0000 0.2009 (multiplicity 2)  4 Mn 2.88
Sc: 0.5000 0.5000 0.5000 (multiplicity 1)  4 Sc 3.28, 8 Ce 3.44
Mn: 0.5000 0.5000 0.0000 (multiplicity 1)  8 Ce 2.88

crystal system	tetragonal
DFT formation energy	218	meV per atom
relative energy among the computed polymorphs	0.00	eV/f.u.

=====

Compound: Tl2PAu2
Source: Alexandria
Functional: PBE-GGA
Structure: relaxed

a b c (Å): 7.7179 7.7179 4.0510
angles (deg): 90.00 90.00 90.00
Last column: nearest neighbours and their distance in Å.
Space group P4/mbm (No. 127)
One atom of each set of equivalent atoms:
Tl: 0.1806 0.3194 0.0000 (multiplicity 4)  2 P 2.83, 6 Au 2.93-3.14
P: 0.0000 0.0000 0.0000 (multiplicity 2)  4 Tl 2.83
Au: 0.1249 0.6249 0.5000 (multiplicity 4)  1 Au 2.73, 2 Tl 2.93

crystal system	tetragonal
DFT formation energy	424	meV per atom
relative energy among the computed polymorphs	1.53	eV/f.u.

=====

Compound: Tl2TcAg
Source: Alexandria
Functional: PBE-GGA
Structure: relaxed

a b c (Å): 6.8374 6.8374 6.8374
angles (deg): 90.00 90.00 90.00
Last column: nearest neighbours and their distance in Å.
Space group Fm-3m (No. 225)
One atom of each set of equivalent atoms:
Tl: 0.2500 0.2500 0.2500 (multiplicity 8)  4 Tc 2.96, 4 Ag 2.96
Tc: 0.0000 0.0000 0.0000 (multiplicity 4)  8 Tl 2.96
Ag: 0.0000 0.0000 0.5000 (multiplicity 4)  8 Tl 2.96

crystal system	cubic
DFT formation energy	690	meV per atom
relative energy among the computed polymorphs	0.63	eV/f.u.

=====

Compound: LiLaGe2
Source: Alexandria
Functional: PBE-GGA
Structure: relaxed

a b c (Å): 7.0966 7.0966 7.0966
angles (deg): 90.00 90.00 90.00
Last column: nearest neighbours and their distance in Å.
Space group Fm-3m (No. 225)
One atom of each set of equivalent atoms:
Li: 0.0000 0.0000 0.0000 (multiplicity 4)  8 Ge 3.07
La: 0.0000 0.0000 0.5000 (multiplicity 4)  8 Ge 3.07
Ge: 0.2500 0.2500 0.2500 (multiplicity 8)  4 La 3.07, 4 Li 3.07

crystal system	cubic
DFT formation energy	-432	meV per atom
relative energy among the computed polymorphs	1.10	eV/f.u.

=====

Compound: NdLuIrRh
Source: Alexandria
Functional: PBE-GGA
Structure: relaxed

a b c (Å): 6.9061 6.9061 6.9061
angles (deg): 90.00 90.00 90.00
Last column: nearest neighbours and their distance in Å.
Space group F-43m (No. 216)
One atom of each set of equivalent atoms:
Nd: 0.0000 0.0000 0.0000 (multiplicity 4)  4 Ir 2.99, 4 Rh 2.99
Lu: 0.0000 0.0000 0.5000 (multiplicity 4)  4 Ir 2.99, 4 Rh 2.99
Ir: 0.2500 0.2500 0.2500 (multiplicity 4)  4 Nd 2.99, 4 Lu 2.99
Rh: 0.2500 0.2500 0.7500 (multiplicity 4)  4 Nd 2.99, 4 Lu 2.99

crystal system	cubic
DFT formation energy	-775	meV per atom

=====

Compound: AcEu2Se
Source: Alexandria
Functional: PBE-GGA
Structure: relaxed

a b c (Å): 4.0930 4.0930 31.3963
angles (deg): 90.00 90.00 120.00
Last column: nearest neighbours and their distance in Å.
Space group R-3m (No. 166, hexagonal axes)
One atom of each set of equivalent atoms:
Ac: 0.0000 0.0000 0.0000 (multiplicity 3)  6 Ac 4.09, 6 Eu 4.12
Eu: 0.0000 0.0000 0.2259 (multiplicity 6)  3 Se 3.01
Se: 0.0000 0.0000 0.5000 (multiplicity 3)  6 Eu 3.01

E_form (uncorrected)	-898.8	meV per atom
crystal system	trigonal
relative energy among the computed polymorphs	0.00	eV/f.u.

=====

Compound: InTeSe
Source: Alexandria
Functional: PBE-GGA
Structure: relaxed

a b c (Å): 7.7495 6.8734 7.0398
angles (deg): 90.00 100.37 90.00
Last column: nearest neighbours and their distance in Å.
Space group P2_1/c (No. 14)
One atom of each set of equivalent atoms:
In: 0.1130 0.2433 0.0186 (multiplicity 4)  4 Se 2.77-2.87, 1 Te 2.97
Te: 0.4557 0.1697 0.8992 (multiplicity 4)  1 Te 2.75, 1 In 2.97
Se: 0.1241 0.5787 0.7790 (multiplicity 4)  4 In 2.77-2.87

E_form (uncorrected)	-224.7	meV per atom
crystal system	monoclinic
relative energy among the computed polymorphs	0.21	eV/f.u.

=====

Number 1: total magnetization 6.679 μB per formula unit, VASP energy -7.602 eV per atom. Number 2: total magnetization 1.014 μB per formula unit, VASP energy -6.811 eV per atom. Number 3: total magnetization 0.000 μB per formula unit, VASP energy -3.745 eV per atom. Number 4: total magnetization 1.129 μB per formula unit, VASP energy -3.461 eV per atom. Number 5: total magnetization 1.483 μB per formula unit, VASP energy -6.624 eV per atom. Number 6: total magnetization 0.000 μB per formula unit, VASP energy -2.916 eV per atom. Number 7: total magnetization 0.000 μB per formula unit, VASP energy -3.798 eV per atom. Number 8: total magnetization 0.000 μB per formula unit, VASP energy -4.451 eV per atom. Number 9: total magnetization 0.000 μB per formula unit, VASP energy -7.150 eV per atom. Number 10: total magnetization 14.971 μB per formula unit, VASP energy -7.934 eV per atom. Number 11: total magnetization 0.000 μB per formula unit, VASP energy -3.346 eV per atom.